VASP calculation (PBE) on a relaxed structure of TiNb2Tc2.

Computed properties:
As for the crystal system: tetragonal. The value obtained for the formation energy is 172 meV/atom. As for the offset from the most stable computed form: 0.5443 eV per atom.

a b c (Å): 7.5832 7.5832 3.0117
angles (deg): 90.00 90.00 90.00
Closest atoms and distances in Å follow each position.
Space group P4/mbm (No. 127)
One atom of each set of equivalent atoms:
Ti: 0.0000 0.0000 0.0000 [2 per cell]  4 Nb 2.90, 2 Ti 3.01, 8 Tc 3.24
Nb: 0.1480 0.3520 0.0000 [4 per cell]  6 Tc 2.59-2.75, 2 Ti 2.90
Tc: 0.1552 0.6552 0.5000 [4 per cell]  6 Nb 2.59-2.75

VASP calculation (PBE) on a relaxed structure of K2ReRu.

Computed properties:
As for the crystal system: cubic. The value obtained for the formation energy is 2415 meV/atom. As for the offset from the most stable computed form: 1.6495 eV per atom.

a b c (Å): 7.6192 7.6192 7.6192
angles (deg): 90.00 90.00 90.00
Closest atoms and distances in Å follow each position.
Space group Fm-3m (No. 225)
One atom of each set of equivalent atoms:
K: 0.2500 0.2500 0.2500 [8 per cell]  4 Re 3.30, 4 Ru 3.30
Re: 0.0000 0.0000 0.0000 [4 per cell]  8 K 3.30
Ru: 0.0000 0.0000 0.5000 [4 per cell]  8 K 3.30

VASP calculation (PBE) on a relaxed structure of Tb12Dy6Th.

Computed properties:
As for the crystal system: trigonal. The value obtained for the formation energy is 466 meV/atom.

a b c (Å): 15.2293 15.2293 9.7329
angles (deg): 90.00 90.00 120.00
Closest atoms and distances in Å follow each position.
Space group R-3m (No. 166, hexagonal axes)
One atom of each set of equivalent atoms:
Tb: 0.0000 0.3916 0.0000 [18 per cell]  4 Dy 3.29-3.42, 3 Tb 3.30-3.59
Tb: 0.0696 0.1392 0.8015 [18 per cell]  1 Dy 2.99, 2 Tb 3.18
Dy: 0.0439 0.5219 0.6976 [18 per cell]  3 Tb 2.99-3.29
Th: 0.0000 0.0000 0.5000 [3 per cell]  6 Tb 3.46

VASP calculation (PBE) on a relaxed structure of Pu4CuIr3.

Computed properties:
As for the crystal system: monoclinic. The value obtained for the formation energy is -326 meV/atom.

a b c (Å): 6.8774 6.8589 7.7078
angles (deg): 90.00 116.40 90.00
Closest atoms and distances in Å follow each position.
Space group C2/m (No. 12)
One atom of each set of equivalent atoms:
Pu: 0.1225 0.2501 0.2452 [8 per cell]  6 Ir 2.93-3.00, 2 Cu 3.00
Cu: 0.0000 0.0000 0.5000 [2 per cell]  8 Pu 3.00
Ir: 0.0000 0.5000 0.5000 [2 per cell]  8 Pu 3.00
Ir: 0.2459 0.0000 0.9920 [4 per cell]  8 Pu 2.93-2.99

VASP calculation (PBE) on a relaxed structure of Pr6Sb5H.

Computed properties:
As for the crystal system: monoclinic.

a b c (Å): 7.7841 13.4528 7.8003
angles (deg): 90.00 109.51 90.00
Closest atoms and distances in Å follow each position.
Space group C2/m (No. 12)
One atom of each set of equivalent atoms:
Pr: 0.2491 0.0000 0.2556 [4 per cell]  5 Sb 3.14-3.18, 1 H 3.22
Pr: 0.2503 0.1673 0.7516 [8 per cell]  5 Sb 3.15-3.19, 1 H 3.18
Sb: 0.0000 0.0000 0.5000 [2 per cell]  6 Pr 3.14-3.19
Sb: 0.0000 0.1659 0.0000 [4 per cell]  6 Pr 3.17-3.18
Sb: 0.0000 0.3310 0.5000 [4 per cell]  6 Pr 3.15-3.19
H: 0.0000 0.5000 0.0000 [2 per cell]  6 Pr 3.18-3.22

VASP calculation (PBE) on a relaxed structure of Zr3Ga2Cu.

Computed properties:
As for the crystal system: orthorhombic. The value obtained for the formation energy is -440 meV/atom.

a b c (Å): 10.9776 4.1414 9.9966
angles (deg): 90.00 90.00 90.00
Closest atoms and distances in Å follow each position.
Space group Pnma (No. 62)
One atom of each set of equivalent atoms:
Zr: 0.0416 0.2500 0.1301 [4 per cell]  5 Ga 2.79-2.90, 1 Cu 2.84
Zr: 0.1474 0.7500 0.5899 [4 per cell]  3 Cu 2.82-2.92, 5 Ga 2.83-2.98, 1 Zr 3.11
Zr: 0.2099 0.2500 0.8209 [4 per cell]  5 Ga 2.88-3.20, 2 Cu 2.92, 3 Zr 3.11-3.18
Ga: 0.0130 0.7500 0.3308 [4 per cell]  2 Cu 2.47
Ga: 0.1814 0.7500 0.0240 [4 per cell]  1 Cu 2.52, 2 Zr 2.79
Cu: 0.1182 0.2500 0.4016 [4 per cell]  3 Ga 2.47-2.52

VASP calculation (PBE) on a relaxed structure of BeCu2As2.

Computed properties:
As for the crystal system: tetragonal. The value obtained for the formation energy is 302 meV/atom.

a b c (Å): 6.3391 6.3391 3.7964
angles (deg): 90.00 90.00 90.00
Closest atoms and distances in Å follow each position.
Space group P4/mbm (No. 127)
One atom of each set of equivalent atoms:
Be: 0.0000 0.0000 0.0000 [2 per cell]  4 As 2.37
Cu: 0.1410 0.3590 0.5000 [4 per cell]  1 Cu 2.53, 6 As 2.59-2.71
As: 0.1632 0.6632 0.0000 [4 per cell]  2 Be 2.37, 2 Cu 2.59

VASP calculation (PBE) on a relaxed structure of KMgAs2.

Computed properties:
As for the crystal system: tetragonal. The value obtained for the formation energy is -159 meV/atom.

a b c (Å): 3.2725 3.2725 9.6676
angles (deg): 90.00 90.00 90.00
Closest atoms and distances in Å follow each position.
Space group P4mm (No. 99)
One atom of each set of equivalent atoms:
K: 0.0000 0.0000 0.0000 [1 per cell]  5 As 3.20-3.28, 4 K 3.27
Mg: 0.5000 0.5000 0.4924 [1 per cell]  5 As 2.58-2.79
As: 0.0000 0.0000 0.3315 [1 per cell]  4 Mg 2.79
As: 0.5000 0.5000 0.7594 [1 per cell]  1 Mg 2.58

VASP calculation (PBE) on a relaxed structure of Al2Cu13.

Computed properties:
As for the crystal system: triclinic. The value obtained for the formation energy is -87 meV/atom. As for the offset from the most stable computed form: 0.0000 eV per atom.

a b c (Å): 5.5949 5.8895 6.3761
angles (deg): 67.96 70.89 83.84
Closest atoms and distances in Å follow each position.
Space group P-1 (No. 2)
One atom of each set of equivalent atoms:
Al: 0.1400 0.4653 0.2893 [2 per cell]  11 Cu 2.54-2.64, 1 Al 2.79
Cu: 0.0000 0.0000 0.5000 [1 per cell]  10 Cu 2.55-2.66, 2 Al 2.63
Cu: 0.0678 0.7378 0.8980 [2 per cell]  2 Al 2.55, 10 Cu 2.55-2.68
Cu: 0.1981 0.2012 0.6985 [2 per cell]  10 Cu 2.55-2.65, 2 Al 2.58-2.60
Cu: 0.2680 0.9340 0.0985 [2 per cell]  11 Cu 2.55-2.66, 1 Al 2.64
Cu: 0.3318 0.6662 0.4999 [2 per cell]  10 Cu 2.55-2.65, 2 Al 2.59-2.60
Cu: 0.3984 0.3984 0.8983 [2 per cell]  2 Al 2.54-2.59, 10 Cu 2.56-2.66
Cu: 0.4678 0.1301 0.3011 [2 per cell]  1 Al 2.54, 11 Cu 2.54-2.66

VASP calculation (PBE) on a relaxed structure of LiSe2Cl.

Computed properties:
As for the crystal system: trigonal. As for the offset from the most stable computed form: 0.3078 eV per atom. As for the uncorrected formation energy: -1.84 eV per formula unit.

a b c (Å): 3.6560 3.6560 25.8990
angles (deg): 90.00 90.00 120.00
Closest atoms and distances in Å follow each position.
Space group R3m (No. 160, hexagonal axes)
One atom of each set of equivalent atoms:
Li: 0.0000 0.0000 0.0000 [3 per cell]  3 Cl 2.23
Se: 0.0000 0.0000 0.2265 [3 per cell]  3 Se 2.66
Se: 0.0000 0.0000 0.4974 [3 per cell]  3 Se 2.66
Cl: 0.0000 0.0000 0.6940 [3 per cell]  3 Li 2.23

| no. | DOS(E_F) (states/eV per cell) | calculated total energy (eV for the cell shown) |
| --- | --- | --- |
| 1 | 15.29 | -95.8 |
| 2 | 35.44 | -57.0 |
| 3 | 79.77 | -245.2 |
| 4 | 53.81 | -181.2 |
| 5 | 7.84 | -128.9 |
| 6 | 19.89 | -153.7 |
| 7 | 2.25 | -39.4 |
| 8 | 0.66 | -12.6 |
| 9 | 5.03 | -62.0 |
| 10 | 4.95 | -37.7 |